# 1
Zr2InMoRh | GGA-PBE | optimized geometry

Its energy of formation from the pure elements is 79 kJ per mole of atoms. Its crystal system is tetragonal.

The structure belongs to space group P4/mmm (No. 123); the cell edges are 4.895, 4.895 and 5.153 Å and the angles 90.00°, 90.00° and 90.00°. The distinct sites, in fractional coordinates, are Zr at (0.000, 0.500, 0.000), In at (0.000, 0.000, 0.500), Mo at (0.000, 0.000, 0.000) and Rh at (0.500, 0.500, 0.500).

=====

# 2
Nd7Mg2Ag2 | GGA-PBE | optimized geometry

Its energy of formation from the pure elements is 13 kJ per mole of atoms. Its crystal system is orthorhombic.

The structure belongs to space group Cmmm (No. 65); the cell edges are 7.977, 11.461 and 7.940 Å and the angles 90.00°, 90.00° and 90.00°. The distinct sites, in fractional coordinates, are Nd at (0.000, 0.000, 0.000), Nd at (0.000, 0.500, 0.251), Nd at (0.250, 0.250, 0.278), Mg at (0.172, 0.000, 0.500) and Ag at (0.000, 0.288, 0.000).

=====

# 3
ScMnGe2 | GGA-PBE | optimized geometry

Its energy of formation from the pure elements is -51 kJ per mole of atoms. Its crystal system is orthorhombic.

The structure belongs to space group Immm (No. 71); the cell edges are 5.289, 8.071 and 17.790 Å and the angles 90.00°, 90.00° and 90.00°. The distinct sites, in fractional coordinates, are Sc at (0.000, 0.000, 0.142), Sc at (0.000, 0.257, 0.407), Mn at (0.000, 0.251, 0.000), Mn at (0.250, 0.250, 0.250), Ge at (0.000, 0.000, 0.300), Ge at (0.000, 0.341, 0.137), Ge at (0.000, 0.500, 0.296), Ge at (0.242, 0.000, 0.500) and Ge at (0.245, 0.500, 0.500).

=====

# 4
TaPbBr3 | GGA-PBE | optimized geometry

The uncorrected formation energy is 0.7631 eV/atom. As for the energy above the lowest structure with this stoichiometry: 0.646 eV/atom. Its crystal system is cubic.

The structure belongs to space group Pm-3m (No. 221); the cell edges are 5.860, 5.860 and 5.860 Å and the angles 90.00°, 90.00° and 90.00°. The distinct sites, in fractional coordinates, are Ta at (0.000, 0.000, 0.000), Pb at (0.500, 0.500, 0.500) and Br at (0.000, 0.500, 0.500).

=====

# 5
HfCuSb2 | GGA-PBE | optimized geometry

The uncorrected formation energy is 0.0259 eV/atom. Its crystal system is trigonal.

The structure belongs to space group R-3m (No. 166, hexagonal axes); the cell edges are 3.4219, 3.4219 and 28.1059 Å and the angles 90.00°, 90.00° and 120.00°. The distinct sites, in fractional coordinates, are Hf at (0.0000, 0.0000, 0.0000), Cu at (0.0000, 0.0000, 0.5000) and Sb at (0.0000, 0.0000, 0.4110).

=====

# 6
Rb2BaNbF6 | GGA-PBE | optimized geometry

The uncorrected formation energy is -2.7542 eV/atom. Its crystal system is cubic.

The structure belongs to space group Fm-3m (No. 225); the cell edges are 9.543, 9.543 and 9.543 Å and the angles 90.00°, 90.00° and 90.00°. The distinct sites, in fractional coordinates, are Rb at (0.250, 0.250, 0.250), Ba at (0.000, 0.000, 0.000), Nb at (0.000, 0.000, 0.500) and F at (0.000, 0.000, 0.267).

=====

# 7
ZnAgSN2 | GGA-PBE | optimized geometry

The uncorrected formation energy is 1.4655 eV/atom. As for the energy above the lowest structure with this stoichiometry: 0.000 eV/atom. Its crystal system is tetragonal.

The structure belongs to space group P4/mmm (No. 123); the cell edges are 3.850, 3.850 and 5.526 Å and the angles 90.00°, 90.00° and 90.00°. The distinct sites, in fractional coordinates, are Zn at (0.000, 0.000, 0.000), Ag at (0.500, 0.500, 0.500), S at (0.000, 0.000, 0.500) and N at (0.000, 0.500, 0.000).

=====

# 8
Mg2CdTe | GGA-PBE | optimized geometry

The uncorrected formation energy is -0.2128 eV/atom. As for the energy above the lowest structure with this stoichiometry: 0.065 eV/atom. Its crystal system is tetragonal.

The structure belongs to space group P4mm (No. 99); the cell edges are 4.079, 4.079 and 6.099 Å and the angles 90.00°, 90.00° and 90.00°. The distinct sites, in fractional coordinates, are Mg at (0.000, 0.000, 0.000), Mg at (0.500, 0.500, 0.350), Cd at (0.500, 0.500, 0.867) and Te at (0.000, 0.000, 0.483).

=====

# 9
Na3CoBi | GGA-PBE | optimized geometry

Its energy of formation from the pure elements is 68 kJ per mole of atoms. As for the energy above the lowest structure with this stoichiometry: 0.062 eV/atom. Its crystal system is cubic.

The structure belongs to space group Pm-3m (No. 221); the cell edges are 5.964, 5.964 and 5.964 Å and the angles 90.00°, 90.00° and 90.00°. The distinct sites, in fractional coordinates, are Na at (0.000, 0.000, 0.500), Co at (0.500, 0.500, 0.500) and Bi at (0.000, 0.000, 0.000).

=====

# 10
HfTa4Nb | GGA-PBE | optimized geometry

Its energy of formation from the pure elements is 10 kJ per mole of atoms. As for the energy above the lowest structure with this stoichiometry: 0.041 eV/atom. Its crystal system is cubic.

The structure belongs to space group F-43m (No. 216); the cell edges are 7.765, 7.765 and 7.765 Å and the angles 90.00°, 90.00° and 90.00°. The distinct sites, in fractional coordinates, are Hf at (0.000, 0.000, 0.000), Ta at (0.125, 0.125, 0.625) and Nb at (0.250, 0.250, 0.250).

=====

# 11
BW | GGA-PBE | optimized geometry

Its energy of formation from the pure elements is 87 kJ per mole of atoms. As for the energy above the lowest structure with this stoichiometry: 1.274 eV/atom. Its crystal system is cubic.

The structure belongs to space group F-43m (No. 216); the cell edges are 4.850, 4.850 and 4.850 Å and the angles 90.00°, 90.00° and 90.00°. The distinct sites, in fractional coordinates, are B at (0.000, 0.000, 0.000) and W at (0.250, 0.250, 0.750).

=====

# 12
VTc3Bi | GGA-PBE | optimized geometry

Its energy of formation from the pure elements is 106 kJ per mole of atoms. As for the energy above the lowest structure with this stoichiometry: 0.000 eV/atom. Its crystal system is cubic.

The structure belongs to space group Pm-3m (No. 221); the cell edges are 4.571, 4.571 and 4.571 Å and the angles 90.00°, 90.00° and 90.00°. The distinct sites, in fractional coordinates, are V at (0.000, 0.000, 0.000), Tc at (0.000, 0.000, 0.500) and Bi at (0.500, 0.500, 0.500).

=====

Total magnetic moment
In order: 0.00 0.00 0.31 0.80 0.00 0.30 0.72 0.00 0.60 0.00 0.00 0.37
Unit: μB/atom